[1]
A geometry-optimized Sn4Au structure, computed with PBEsol.

a b c (Å): 6.498 6.475 6.701
angles (deg): 61.11 90.00 90.00
Fractional positions:
Sn 0.333 0.707 0.262
Sn 0.667 0.968 0.738
Sn 0.833 0.468 0.738
Sn 0.333 0.293 0.738
Sn 0.667 0.032 0.262
Sn 0.167 0.793 0.738
Sn 0.167 0.207 0.262
Sn 0.833 0.532 0.262
Au 0.500 0.500 0.000
Au 0.000 0.000 0.000

Calculated values
- Space group: Ccce
- DFT formation energy: -0.104 eV per atom
- ρ: 9.0 g/cm³
- Raw total energy: -4.30 eV per atom

[2]
A geometry-optimized Sn2Au structure, computed with PBEsol.

a b c (Å): 6.918 7.010 11.779
angles (deg): 90.00 90.00 90.00
Fractional positions:
Sn 0.630 0.528 0.327
Sn 0.852 0.252 0.089
Sn 0.130 0.528 0.173
Sn 0.870 0.028 0.327
Sn 0.130 0.972 0.673
Sn 0.370 0.028 0.173
Sn 0.630 0.972 0.827
Sn 0.148 0.752 0.411
Sn 0.870 0.472 0.827
Sn 0.352 0.252 0.411
Sn 0.352 0.248 0.911
Sn 0.648 0.752 0.089
Sn 0.148 0.748 0.911
Sn 0.648 0.748 0.589
Sn 0.370 0.472 0.673
Sn 0.852 0.248 0.589
Au 0.988 0.108 0.884
Au 0.012 0.892 0.116
Au 0.512 0.892 0.384
Au 0.488 0.392 0.116
Au 0.488 0.108 0.616
Au 0.512 0.608 0.884
Au 0.012 0.608 0.616
Au 0.988 0.392 0.384

Calculated values
- Space group: Pbca
- DFT formation energy: -0.158 eV per atom
- ρ: 10.1 g/cm³
- Raw total energy: -4.31 eV per atom

[3]
A geometry-optimized SnAu5 structure, computed with PBEsol.

a b c (Å): 5.086 5.086 5.596
angles (deg): 62.97 62.97 60.00
Fractional positions:
Au 0.329 0.329 0.012
Au 0.173 0.827 0.500
Au 0.827 0.500 0.500
Au 0.671 0.671 0.988
Au 0.500 0.173 0.500
Sn 0.000 0.000 0.000

Calculated values
- Space group: R32
- DFT formation energy: -0.054 eV per atom
- ρ: 17.2 g/cm³
- Raw total energy: -4.03 eV per atom

[4]
A geometry-optimized SnAu structure, computed with PBEsol.

a b c (Å): 4.326 4.326 5.522
angles (deg): 90.00 90.00 120.00
Fractional positions:
Au 0.000 0.000 0.000
Au 0.000 0.000 0.500
Sn 0.667 0.333 0.750
Sn 0.333 0.667 0.250

Calculated values
- Space group: P6_3/mmc
- DFT formation energy: -0.196 eV per atom
- ρ: 11.7 g/cm³
- Raw total energy: -4.29 eV per atom

[5]
A geometry-optimized Sr2Sn2Au structure, computed with PBEsol.

a b c (Å): 4.115 4.115 9.660
angles (deg): 102.30 102.30 90.00
Fractional positions:
Sr 0.403 0.403 0.807
Sr 0.597 0.597 0.193
Au 0.000 0.000 0.000
Sn 0.750 0.250 0.500
Sn 0.250 0.750 0.500

Calculated values
- Space group: I4/mmm
- DFT formation energy: -0.388 eV per atom
- ρ: 6.5 g/cm³
- Raw total energy: -3.61 eV per atom

[6]
A geometry-optimized Ta3SnAu structure, computed with PBEsol.

a b c (Å): 4.888 4.888 4.888
angles (deg): 90.00 90.00 90.00
Fractional positions:
Ta 0.500 0.000 0.000
Ta 0.000 0.000 0.500
Ta 0.000 0.500 0.000
Au 0.000 0.000 0.000
Sn 0.500 0.500 0.500

Calculated values
- Space group: Pm-3m
- DFT formation energy: 1.520 eV per atom
- ρ: 12.2 g/cm³
- Raw total energy: -7.65 eV per atom

[7]
A geometry-optimized Tb2SnAu2 structure, computed with PBEsol.

a b c (Å): 3.748 7.785 7.785
angles (deg): 90.00 90.00 90.00
Fractional positions:
Sn 0.000 0.500 0.500
Sn 0.000 0.000 0.000
Au 0.000 0.373 0.127
Au 0.000 0.127 0.627
Au 0.000 0.873 0.373
Au 0.000 0.627 0.873
Tb 0.500 0.171 0.329
Tb 0.500 0.329 0.829
Tb 0.500 0.829 0.671
Tb 0.500 0.671 0.171

Calculated values
- Space group: P4/mbm
- DFT formation energy: -0.882 eV per atom
- ρ: 12.1 g/cm³
- Raw total energy: -5.31 eV per atom

[8]
A geometry-optimized TbSnAu2 structure, computed with PBEsol.

a b c (Å): 4.893 4.893 4.893
angles (deg): 60.00 60.00 60.00
Fractional positions:
Au 0.750 0.750 0.750
Au 0.250 0.250 0.250
Tb 0.000 0.000 0.000
Sn 0.500 0.500 0.500

Calculated values
- Space group: Fm-3m
- DFT formation energy: -0.718 eV per atom
- ρ: 13.5 g/cm³
- Raw total energy: -5.00 eV per atom

[9]
A geometry-optimized TcSn3Au structure, computed with PBEsol.

a b c (Å): 5.201 5.201 5.201
angles (deg): 90.00 90.00 90.00
Fractional positions:
Sn 0.000 0.500 0.000
Sn 0.500 0.000 0.000
Sn 0.000 0.000 0.500
Au 0.000 0.000 0.000
Tc 0.500 0.500 0.500

Calculated values
- Space group: Pm-3m
- DFT formation energy: 1.208 eV per atom
- ρ: 7.7 g/cm³
- Raw total energy: -4.39 eV per atom

[10]
A geometry-optimized TlSn2Au structure, computed with PBEsol.

a b c (Å): 5.123 5.123 5.123
angles (deg): 60.00 60.00 60.00
Fractional positions:
Au 0.000 0.000 0.000
Tl 0.500 0.500 0.500
Sn 0.250 0.250 0.250
Sn 0.750 0.750 0.750

Calculated values
- Space group: Fm-3m
- DFT formation energy: 0.073 eV per atom
- ρ: 11.2 g/cm³
- Raw total energy: -3.70 eV per atom

[11]
A geometry-optimized Tl2SnAu2 structure, computed with PBEsol.

a b c (Å): 4.241 7.428 7.428
angles (deg): 90.00 90.00 90.00
Fractional positions:
Au 0.000 0.865 0.635
Au 0.000 0.365 0.865
Au 0.000 0.135 0.365
Au 0.000 0.635 0.135
Tl 0.500 0.834 0.334
Tl 0.500 0.334 0.166
Tl 0.500 0.166 0.666
Tl 0.500 0.666 0.834
Sn 0.000 0.000 0.000
Sn 0.000 0.500 0.500

Calculated values
- Space group: P4/mbm
- DFT formation energy: 0.004 eV per atom
- ρ: 13.1 g/cm³
- Raw total energy: -3.47 eV per atom

[12]
A geometry-optimized TlSn2Au2 structure, computed with PBEsol.

a b c (Å): 4.745 4.745 6.478
angles (deg): 111.49 111.49 90.00
Fractional positions:
Au 0.621 0.621 0.242
Au 0.379 0.379 0.758
Sn 0.250 0.750 0.500
Sn 0.750 0.250 0.500
Tl 0.000 0.000 0.000

Calculated values
- Space group: I4/mmm
- DFT formation energy: -0.043 eV per atom
- ρ: 11.1 g/cm³
- Energy above the most stable polymorph in this dataset: 6 meV per atom
- Raw total energy: -3.84 eV per atom